# 1
InBrCl2: optimized geometry, PBE.

DOS(E_F): 0.582 states/eV/atom
E: -9.37 eV for the cell shown
Magnetic moment: 0.106 μB per atom
Crystal system: tetragonal
ΔE_f (raw): -0.317 eV/atom

a b c (Å): 3.430 3.430 9.726
angles (deg): 90.00 90.00 90.00
Space group P4/mmm (No. 123)
Asymmetric unit:
In1 0.000 0.000 0.000 (multiplicity 1)
Br1 0.000 0.000 0.500 (multiplicity 1)
Cl1 0.500 0.500 0.162 (multiplicity 2)


# 2
In5BrCl6: optimized geometry, PBE.

DOS(E_F): 0.000 states/eV/atom
E: -73.08 eV for the cell shown
Magnetic moment: 0.000 μB per atom
Crystal system: monoclinic
ΔE_f (raw): -0.841 eV/atom

a b c (Å): 8.741 11.635 7.667
angles (deg): 90.00 101.84 90.00
Space group C2/m (No. 12)
Asymmetric unit:
In1 0.000 0.000 0.000 (multiplicity 2)
In2 0.000 0.241 0.500 (multiplicity 4)
In3 0.000 0.360 0.000 (multiplicity 4)
Br1 0.000 0.500 0.500 (multiplicity 2)
Cl1 0.164 0.000 0.772 (multiplicity 4)
Cl2 0.176 0.161 0.178 (multiplicity 8)


# 3
In3BrCl2: optimized geometry, PBE.

DOS(E_F): 0.000 states/eV/atom
E: -35.86 eV for the cell shown
Magnetic moment: 0.000 μB per atom
Crystal system: monoclinic
ΔE_f (raw): -0.725 eV/atom

a b c (Å): 19.717 4.800 4.802
angles (deg): 90.00 104.09 90.00
Space group Cm (No. 8)
Asymmetric unit:
In1 0.000 0.000 0.000 (multiplicity 2)
In2 0.158 0.500 0.657 (multiplicity 2)
In3 0.329 0.000 0.330 (multiplicity 2)
Br1 0.329 0.500 0.830 (multiplicity 2)
Cl1 0.162 0.000 0.162 (multiplicity 2)
Cl2 0.496 0.000 0.496 (multiplicity 2)


# 4
In2Br2Cl: optimized geometry, PBE.

DOS(E_F): 0.813 states/eV/atom
E: -27.59 eV for the cell shown
Magnetic moment: 0.000 μB per atom
Crystal system: tetragonal
ΔE_f (raw): -0.625 eV/atom

a b c (Å): 7.804 7.804 4.575
angles (deg): 90.00 90.00 90.00
Space group P4/mbm (No. 127)
Asymmetric unit:
In1 0.152 0.348 0.000 (multiplicity 4)
Br1 0.175 0.675 0.500 (multiplicity 4)
Cl1 0.000 0.000 0.000 (multiplicity 2)


# 5
InBrCl2: optimized geometry, PBE.

DOS(E_F): 0.000 states/eV/atom
E: -23.29 eV for the cell shown
Magnetic moment: 0.000 μB per atom
Crystal system: monoclinic
ΔE_f (raw): -0.885 eV/atom

a b c (Å): 12.973 3.511 6.911
angles (deg): 90.00 119.32 90.00
Space group Cm (No. 8)
Asymmetric unit:
In1 0.000 0.000 0.000 (multiplicity 2)
Br1 0.158 0.500 0.300 (multiplicity 2)
Cl1 0.002 0.500 0.724 (multiplicity 2)
Cl2 0.351 0.000 0.997 (multiplicity 2)


# 6
InBrCl2: optimized geometry, PBE.

DOS(E_F): 0.208 states/eV/atom
E: -21.28 eV for the cell shown
Magnetic moment: 0.000 μB per atom
Crystal system: orthorhombic
ΔE_f (raw): -0.634 eV/atom

a b c (Å): 3.518 5.593 11.811
angles (deg): 90.00 90.00 90.00
Space group Immm (No. 71)
Asymmetric unit:
In1 0.000 0.000 0.000 (multiplicity 2)
Br1 0.000 0.000 0.500 (multiplicity 2)
Cl1 0.000 0.500 0.343 (multiplicity 4)


# 7
KIn2BrCl2: optimized geometry, PBE.

E: -36.26 eV for the cell shown
Magnetic moment: 0.000 μB per atom
Crystal system: monoclinic
ΔE_f (raw): -1.032 eV/atom

a b c (Å): 7.613 6.699 10.057
angles (deg): 90.00 97.63 90.00
Space group P2_1/m (No. 11)
Asymmetric unit:
K1 0.213 0.250 0.045 (multiplicity 2)
In1 0.188 0.001 0.644 (multiplicity 4)
Br1 0.077 0.750 0.239 (multiplicity 2)
Cl1 0.176 0.750 0.868 (multiplicity 2)
Cl2 0.429 0.250 0.805 (multiplicity 2)


# 8
KIn2Br2Cl: optimized geometry, PBE.

DOS(E_F): 0.000 states/eV/atom
E: -72.84 eV for the cell shown
Magnetic moment: 0.000 μB per atom
Crystal system: orthorhombic
ΔE_f (raw): -1.074 eV/atom

a b c (Å): 19.881 6.592 6.590
angles (deg): 90.00 90.00 90.00
Space group Cmc2_1 (No. 36)
Asymmetric unit:
K1 0.000 0.249 0.000 (multiplicity 4)
In1 0.162 0.253 0.499 (multiplicity 8)
Br1 0.165 0.244 0.998 (multiplicity 8)
Cl1 0.000 0.251 0.500 (multiplicity 4)


Copy entry 2 word for word.
In5BrCl6: optimized geometry, PBE.

DOS(E_F): 0.000 states/eV/atom
E: -73.08 eV for the cell shown
Magnetic moment: 0.000 μB per atom
Crystal system: monoclinic
ΔE_f (raw): -0.841 eV/atom

a b c (Å): 8.741 11.635 7.667
angles (deg): 90.00 101.84 90.00
Space group C2/m (No. 12)
Asymmetric unit:
In1 0.000 0.000 0.000 (multiplicity 2)
In2 0.000 0.241 0.500 (multiplicity 4)
In3 0.000 0.360 0.000 (multiplicity 4)
Br1 0.000 0.500 0.500 (multiplicity 2)
Cl1 0.164 0.000 0.772 (multiplicity 4)
Cl2 0.176 0.161 0.178 (multiplicity 8)


Which value of ΔE_f (raw) does entry 5 give? -0.885 eV/atom